The following is a DFT calculation (PBE) of crystalline LiFe2AgAs at its relaxed geometry.

Cell and atoms, written as extended XYZ:
```
5
Lattice="4.227 0.000 0.000 0.000 4.341 0.000 0.000 0.000 4.227" Properties=species:S:1:pos:R:3 pbc="T T T"
As 2.114 2.171 2.114
Fe 0.000 0.000 2.114
Fe 2.114 0.000 0.000
Ag 0.000 2.171 0.000
Li 0.000 0.000 0.000
```

Output
Its density is 6.45 g/cm3. As for the magnetization: 5.70 μB per formula unit. The formation energy from the elements comes out at 0.91 eV/atom.